Entry 1:
AlCd2Tc: relaxed, GGA-PBEsol.

a = 4.5483 Å, b = 4.5483 Å, c = 4.5483 Å
α = 60.00°, β = 60.00°, γ = 60.00°
Closest atoms and distances in Å follow each position.
Fractional positions:
Al  0.5000  0.5000  0.5000  4 Tc 2.79, 4 Cd 2.79
Tc  0.2500  0.2500  0.2500  4 Cd 2.79, 4 Al 2.79
Cd  0.0000  0.0000  0.0000  4 Cd 2.79, 4 Tc 2.79
Cd  0.7500  0.7500  0.7500  4 Cd 2.79, 4 Al 2.79

Space group: F-43m, No. 216
Calculated formation energy, kJ per mole of atoms: 27.9

***

Entry 2:
TiCrBS2: relaxed, GGA-PBEsol.

a = 4.8442 Å, b = 4.5427 Å, c = 4.5427 Å
α = 90.00°, β = 90.00°, γ = 90.00°
Closest atoms and distances in Å follow each position.
Fractional positions:
S  0.0000  0.0000  0.5000  2 Ti 2.27
S  0.0000  0.5000  0.0000  2 Ti 2.27
Cr  0.5000  0.0000  0.0000  2 Ti 2.42
B  0.5000  0.5000  0.5000  4 Cr 3.21, 8 S 3.32
Ti  0.0000  0.0000  0.0000  4 S 2.27, 2 Cr 2.42

Space group: P4/mmm, No. 123
Uncorrected energy, eV per atom: -5.749